Entry from Alexandria via LeMat-Bulk: a relaxed structure of TlTeAu2 (PBE).

a b c (Å): 7.2102 7.2102 7.2102
angles (deg): 148.30 147.66 45.92
Last column: nearest neighbours and their distance in Å.
Atoms (fractional coordinates):
Au 0.9701 0.9701 0.0000  4 Te 2.84, 2 Au 2.96
Au 0.3067 0.8067 0.5000  2 Au 2.96, 4 Tl 3.02, 2 Te 3.22
Te 0.4988 0.4988 0.0000  4 Au 2.84
Tl 0.7244 0.2244 0.5000  4 Au 3.02

Values from the calculation:
Raw formation energy   0.036 eV per atom
Calculated total energy   -2.979 eV/atom
Space group   Imm2
Theoretical density   11.480 Mg/m³
Distance to the lowest polymorph of the same formula   52 meV/atom